Entry from the Alexandria database: an optimized crystal structure of Fe2CuSe (PBE).

Results
DOS(E_F) = 3.5 states/eV/cell
formation energy from raw total energies = 0.269 eV/atom
calculated density = 7.87 g/cm3

a = 4.775 Å, b = 4.775 Å, c = 4.775 Å
α = 139.40°, β = 129.74°, γ = 66.51°
Fractional coordinates of all 4 atoms:
Fe: 0.511 0.511 0.000
Fe: 0.989 0.989 0.000
Se: 0.750 0.250 0.500
Cu: 0.250 0.750 0.500